This record from Alexandria via LeMat-Bulk describes a PBEsol-optimized structure of KTaAs2. The functional is meta-GGA SCAN.

Cell: 2.8701 5.3403 5.3403 Å, 90.00 90.00 90.00°
Fractional coordinates of all 4 atoms:
1 As 0.0000 0.0000 0.5000
2 As 0.0000 0.5000 0.0000
3 K 0.5000 0.0000 0.0000
4 Ta 0.0000 0.5000 0.5000

Computed properties:
* ΔE to the lowest computed polymorph: 1.71 eV/f.u.
* symmetry: P4/mmm (123)
* energy of formation: 42 kJ/mol of formula units
* raw total energy: -28.7134 eV per atom
* total moment: 0.000 μB/f.u.